This record from Alexandria describes ErSc4Sn after structural relaxation. The functional is GGA-PBE.

Cell: 3.423 18.623 9.483 Å, 90.00 90.00 90.00°
Space group Cmcm (No. 63)
One atom of each set of equivalent atoms:
Er  0.000  0.104  0.250
Sc  0.000  0.078  0.750
Sc  0.000  0.327  0.029
Sc  0.000  0.500  0.000
Sn  0.000  0.249  0.750

Values from the calculation:
Density of states at the Fermi level = 37.89 states/eV per cell
Volume = 604.4 Å³/cell
Final energy = -5.87 eV/atom